BaNi2Se | GGA-PBE | optimized geometry

Cell lengths 4.236, 4.236, 9.275 Å; angles 90.00, 90.00, 90.00 degrees
Space group I-4m2 (No. 119)
Symmetry-distinct sites (fractional):
Ba  0.000  0.000  0.000 x2
Ni  0.000  0.000  0.500 x2
Ni  0.000  0.500  0.750 x2
Se  0.000  0.500  0.250 x2

Results
Raw total energy in eV/atom: -3.99
Total magnetic moment in μB/f.u.: 0.0
Uncorrected formation energy in eV per atom: 0.2554
V in Å³/cell: 166.4